A relaxed MnNb7Se12 crystal. Source: Alexandria, functional PBE.

Calculated values
**Raw total energy**: -6.70 eV/atom
**Formation energy without anion corrections**: -0.62 eV per atom

a = 8.299 Å, b = 8.299 Å, c = 8.299 Å
α = 108.07°, β = 108.07°, γ = 108.07°
Atoms (fractional coordinates):
Se1 0.612 0.532 0.843
Nb1 0.103 0.032 0.315
Mn1 0.000 0.000 0.000
Se2 0.532 0.843 0.612
Se3 0.309 0.774 0.924
Nb2 0.315 0.103 0.032
Se4 0.774 0.924 0.309
Se5 0.076 0.691 0.226
Se6 0.388 0.468 0.157
Se7 0.843 0.612 0.532
Se8 0.924 0.309 0.774
Se9 0.691 0.226 0.076
Se10 0.468 0.157 0.388
Nb3 0.685 0.897 0.968
Se11 0.226 0.076 0.691
Nb4 0.032 0.315 0.103
Nb5 0.897 0.968 0.685
Nb6 0.968 0.685 0.897
Se12 0.157 0.388 0.468
Nb7 0.500 0.500 0.500